Entry 1:
Below is a relaxed YPa2N4 crystal, with properties calculated at the PBE level.

Output
crystal system = tetragonal
distance to the lowest polymorph of the same formula = 0.0742 eV per atom
DOS(E_F) = 0.6637 states/eV/atom

Cell lengths 6.3238, 6.3238, 6.3238 Å; angles 108.24, 111.96, 108.24 degrees
Last column: nearest neighbours and their distance in Å.
Fractional positions:
Pa (0.5170, 0.3920, 0.6250)  4 N 2.27-2.36
Pa (0.2330, 0.6080, 0.1250)  4 N 2.27-2.36
Pa (0.8750, 0.1080, 0.4830)  4 N 2.27-2.36
Pa (0.3750, 0.8920, 0.7670)  4 N 2.27-2.36
N (0.6127, 0.7465, 0.9891)  2 Pa 2.27-2.36, 1 Y 2.43
N (0.1373, 0.8765, 0.3838)  2 Pa 2.27-2.36, 1 Y 2.43
N (0.6162, 0.7535, 0.4926)  2 Pa 2.27-2.36, 1 Y 2.43
N (0.7391, 0.2465, 0.8627)  2 Pa 2.27-2.36, 1 Y 2.43
N (0.2426, 0.2535, 0.8662)  2 Pa 2.27-2.36, 1 Y 2.43
N (0.1338, 0.3765, 0.3873)  2 Pa 2.27-2.36, 1 Y 2.43
N (0.5074, 0.1235, 0.2609)  2 Pa 2.27-2.36, 1 Y 2.43
N (0.0109, 0.6235, 0.7574)  2 Pa 2.27-2.36, 1 Y 2.43
Y (0.0000, 0.0000, 0.0000)  8 N 2.43-2.70
Y (0.7500, 0.5000, 0.2500)  8 N 2.43-2.70

---

Entry 2:
Below is a relaxed Ho2ErIn crystal, with properties calculated at the PBE level.

Output
crystal system = trigonal
distance to the lowest polymorph of the same formula = 0.1173 eV per atom
DOS(E_F) = 1.1838 states/eV/atom

Cell lengths 3.5524, 3.5524, 11.0378 Å; angles 80.74, 80.74, 60.00 degrees
Last column: nearest neighbours and their distance in Å.
Fractional positions:
Ho (0.2542, 0.2542, 0.2374)  3 In 3.29, 3 Er 3.51, 6 Ho 3.55
Ho (0.0793, 0.0793, 0.7622)  3 In 3.30, 3 Er 3.51, 6 Ho 3.55
Er (0.5000, 0.5000, 0.4999)  6 Ho 3.51, 6 Er 3.55
In (0.6665, 0.6665, 0.0005)  6 Ho 3.29-3.30, 6 In 3.55

---

Entry 3:
Below is a relaxed ZrAsBr2 crystal, with properties calculated at the PBE level.

Output
crystal system = tetragonal
distance to the lowest polymorph of the same formula = 0.7376 eV per atom
DOS(E_F) = 0.8422 states/eV/atom

Cell lengths 5.3144, 5.3144, 5.3144 Å; angles 129.23, 129.23, 74.65 degrees
Last column: nearest neighbours and their distance in Å.
Fractional positions:
As (0.7500, 0.2500, 0.5000)  4 Zr 3.11, 8 Br 3.11-3.22
Zr (0.5000, 0.5000, 0.0000)  8 Br 3.11-3.22, 4 As 3.11
Br (0.0000, 0.0000, 0.0000)  4 As 3.11, 4 Br 3.11, 4 Zr 3.22
Br (0.2500, 0.7500, 0.5000)  4 Br 3.11, 4 Zr 3.11, 4 As 3.22

---

Entry 4:
Below is a relaxed SmGdMnZn crystal, with properties calculated at the PBE level.

Output
crystal system = cubic
energy = -7.310 eV per atom
DOS(E_F) = 1.2383 states/eV/atom

Cell lengths 5.1065, 5.1065, 5.1065 Å; angles 60.00, 60.00, 60.00 degrees
Last column: nearest neighbours and their distance in Å.
Fractional positions:
Sm (0.7500, 0.7500, 0.7500)  4 Mn 3.13, 4 Zn 3.13
Zn (0.0000, 0.0000, 0.0000)  4 Gd 3.13, 4 Sm 3.13
Mn (0.5000, 0.5000, 0.5000)  4 Sm 3.13, 4 Gd 3.13
Gd (0.2500, 0.2500, 0.2500)  4 Mn 3.13, 4 Zn 3.13

---

Entry 5:
Below is a relaxed V2ZnCr2 crystal, with properties calculated at the PBE level.

Output
crystal system = tetragonal
energy = -7.515 eV per atom
DOS(E_F) = 0.4686 states/eV/atom

Cell lengths 6.7949, 6.7949, 2.9006 Å; angles 90.00, 90.00, 90.00 degrees
Last column: nearest neighbours and their distance in Å.
Fractional positions:
Zn (0.0000, 0.0000, 0.0000)  4 Cr 2.77, 8 V 2.85, 2 Zn 2.90
Zn (0.5000, 0.5000, 0.0000)  4 Cr 2.77, 8 V 2.85, 2 Zn 2.90
V (0.2990, 0.2010, 0.5000)  6 Cr 2.36-2.62
V (0.7990, 0.2990, 0.5000)  6 Cr 2.36-2.62
V (0.2010, 0.7010, 0.5000)  6 Cr 2.36-2.62
V (0.7010, 0.7990, 0.5000)  6 Cr 2.36-2.62
Cr (0.3942, 0.8942, 0.0000)  1 Cr 2.03
Cr (0.6058, 0.1058, 0.0000)  1 Cr 2.03
Cr (0.8942, 0.6058, 0.0000)  1 Cr 2.03
Cr (0.1058, 0.3942, 0.0000)  1 Cr 2.03

---

Entry 6:
Below is a relaxed BaGaSnPb2 crystal, with properties calculated at the PBE level.

Output
crystal system = tetragonal
distance to the lowest polymorph of the same formula = 0.2255 eV per atom
DOS(E_F) = 0.9409 states/eV/atom

Cell lengths 5.8027, 6.4990, 5.8027 Å; angles 90.00, 90.00, 90.00 degrees
Last column: nearest neighbours and their distance in Å.
Fractional positions:
Pb (0.5000, 0.0000, 0.0000)  2 Sn 2.90
Pb (0.0000, 0.0000, 0.5000)  2 Sn 2.90
Ga (0.5000, 0.5000, 0.5000)  4 Ba 4.10, 8 Pb 4.36
Ba (0.0000, 0.5000, 0.0000)  2 Sn 3.25
Sn (0.0000, 0.0000, 0.0000)  4 Pb 2.90, 2 Ba 3.25

---

Entry 7:
Below is a relaxed ScTlOs2 crystal, with properties calculated at the PBE level.

Output
crystal system = monoclinic
energy = -7.367 eV per atom
DOS(E_F) = 0.8699 states/eV/atom

Cell lengths 4.6141, 3.0128, 5.2871 Å; angles 90.27, 90.00, 90.00 degrees
Last column: nearest neighbours and their distance in Å.
Fractional positions:
Os (0.0000, 0.9039, 0.0370)  1 Os 2.44
Os (0.0000, 0.5961, 0.4630)  1 Os 2.44
Tl (0.5000, 0.7500, 0.7500)  4 Os 2.80, 2 Tl 3.01, 4 Sc 3.04-3.05
Sc (0.5000, 0.2500, 0.2500)  4 Os 2.77, 2 Sc 3.01, 4 Tl 3.04-3.05

---

Entry 8:
Below is a relaxed Si4Ag crystal, with properties calculated at the PBE level.

Output
crystal system = tetragonal
distance to the lowest polymorph of the same formula = 0.0000 eV per atom
DOS(E_F) = 0.2260 states/eV/atom

Cell lengths 5.5037, 5.5037, 5.5037 Å; angles 132.95, 132.95, 68.73 degrees
Last column: nearest neighbours and their distance in Å.
Fractional positions:
Si (0.7500, 0.2500, 0.5000)  4 Si 2.46
Si (0.2500, 0.7500, 0.5000)  4 Si 2.46
Si (0.3719, 0.3719, 0.0000)  5 Si 2.33-2.46
Si (0.6281, 0.6281, 0.0000)  5 Si 2.33-2.46
Ag (0.0000, 0.0000, 0.0000)  18 Si 3.16-3.38